Compound: La2TaNbN6
Source: Alexandria
Functional: PBE
Structure: relaxed

Cell and atoms, written as POSCAR:
```
La2TaNbN6
1.0
5.8475 0.0000 0.0000
0.0000 5.7389 0.0000
-5.8474 0.0000 8.1320
La Ta Nb N
4 2 2 12
direct
0.2435 0.0087 0.2501
0.2435 0.4913 0.7501
0.7565 0.5087 0.2499
0.7565 0.9913 0.7499
0.5000 0.0000 0.0000
0.5000 0.5000 0.5000
0.0000 0.0000 0.5000
0.0000 0.5000 0.0000
0.1985 0.2412 0.9551
0.1985 0.2588 0.4551
0.2138 0.7430 0.9551
0.2138 0.7570 0.4551
0.3341 0.0048 0.7511
0.3341 0.4952 0.2511
0.6659 0.5048 0.7489
0.6659 0.9952 0.2489
0.7862 0.2430 0.5449
0.7862 0.2570 0.0449
0.8015 0.7412 0.5449
0.8015 0.7588 0.0449
```

space-group type	P2_1/c
energy	-9.182	eV per atom
Fermi-level density of states	14.6	states/eV per cell